Co2SbBr8: optimized geometry, GGA-PBE.

Output
* energy relative to the elements, uncorrected: -368 meV per atom

Cell and atoms, written as POSCAR:
```
Co2SbBr8
1.0
6.567 -4.914 0.000
6.567 4.914 0.000
-0.841 0.000 6.567
Co Sb Br
2 1 8
direct
0.191 0.191 0.138
0.809 0.809 0.862
0.000 0.000 0.500
0.089 0.717 0.739
0.185 0.185 0.777
0.283 0.911 0.261
0.360 0.360 0.268
0.640 0.640 0.732
0.717 0.089 0.739
0.815 0.815 0.223
0.911 0.283 0.261
```

***

CoSb2Br: optimized geometry, GGA-PBE.

Output
* E above lowest polymorph: 724 meV/atom
* energy relative to the elements, uncorrected: 577 meV per atom

Cell and atoms, written as POSCAR:
```
CoSb2Br
1.0
0.000 3.574 3.574
3.574 0.000 3.574
3.574 3.574 0.000
Co Sb Br
1 2 1
direct
0.000 0.000 0.000
0.500 0.500 0.500
0.750 0.750 0.750
0.250 0.250 0.250
```

***

CoSb2Br: optimized geometry, GGA-PBE.

Output
* E above lowest polymorph: 227 meV/atom
* energy relative to the elements, uncorrected: 79 meV per atom

Cell and atoms, written as POSCAR:
```
CoSb2Br
1.0
3.542 0.000 0.000
0.000 2.672 4.809
0.000 -2.672 4.809
Co Sb Br
1 2 1
direct
0.000 0.000 0.000
0.000 0.480 0.480
0.500 0.178 0.178
0.500 0.816 0.816
```

***

Sc2CoSbBr: optimized geometry, GGA-PBE.

Output
* energy relative to the elements, uncorrected: 233 meV per atom

Cell and atoms, written as POSCAR:
```
Sc2CoSbBr
1.0
5.489 0.000 0.000
0.000 5.489 0.000
0.000 0.000 4.570
Sc Co Sb Br
2 1 1 1
direct
0.000 0.500 0.000
0.500 0.000 0.000
0.000 0.000 0.500
0.000 0.000 0.000
0.500 0.500 0.500
```

***

CoSbSe2Br: optimized geometry, GGA-PBE.

Output
* E above lowest polymorph: 0 meV/atom
* energy relative to the elements, uncorrected: 202 meV per atom

Cell and atoms, written as POSCAR:
```
CoSbSe2Br
1.0
4.765 0.000 0.000
0.000 4.765 0.000
0.000 0.000 4.786
Co Sb Se Br
1 1 2 1
direct
0.000 0.000 0.000
0.500 0.500 0.500
0.000 0.500 0.000
0.500 0.000 0.000
0.000 0.000 0.500
```

***

CoSnSb2Br: optimized geometry, GGA-PBE.

Output
* energy relative to the elements, uncorrected: 1123 meV per atom

Cell and atoms, written as POSCAR:
```
CoSnSb2Br
1.0
5.706 0.000 0.000
0.000 5.706 0.000
0.000 0.000 5.427
Co Sn Sb Br
1 1 2 1
direct
0.000 0.000 0.000
0.500 0.500 0.500
0.000 0.500 0.500
0.500 0.000 0.500
0.500 0.500 0.000
```